Entry 1:
Density functional theory data (GGA-PBE) for a relaxed CeTl3F7 crystal.

Results
M_tot ... 0.00 μB/f.u.
Energy relative to the elements, uncorrected ... -2.73 eV/atom

a b c (Å): 6.2020 6.2020 7.2473
angles (deg): 112.00 112.00 88.64
Atoms (fractional coordinates):
Ce 0.0000 0.0000 0.0000
Tl 0.1960 0.7067 0.4623
Tl 0.4520 0.4520 0.9573
Tl 0.7067 0.1960 0.4623
F 0.0871 0.0871 0.7587
F 0.3068 0.3068 0.1942
F 0.3081 0.8665 0.1980
F 0.6449 0.9894 0.7672
F 0.8463 0.8463 0.1668
F 0.8665 0.3081 0.1980
F 0.9894 0.6449 0.7672



Entry 2:
Density functional theory data (GGA-PBE) for a relaxed CeTl2F6 crystal.

Results
M_tot ... 0.00 μB/f.u.
Energy relative to the elements, uncorrected ... -2.92 eV/atom

a b c (Å): 5.8817 5.8817 12.3614
angles (deg): 90.00 90.00 90.00
Atoms (fractional coordinates):
Ce 0.0000 0.0000 0.0000
Ce 0.5000 0.5000 0.5000
Tl 0.0000 0.0000 0.3366
Tl 0.0000 0.0000 0.6634
Tl 0.5000 0.5000 0.1634
Tl 0.5000 0.5000 0.8366
F 0.1768 0.1768 0.1304
F 0.1768 0.1768 0.8696
F 0.2364 0.2364 0.5000
F 0.2636 0.7364 0.0000
F 0.3232 0.6768 0.3696
F 0.3232 0.6768 0.6304
F 0.6768 0.3232 0.3696
F 0.6768 0.3232 0.6304
F 0.7364 0.2636 0.0000
F 0.7636 0.7636 0.5000
F 0.8232 0.8232 0.1304
F 0.8232 0.8232 0.8696



Entry 3:
Density functional theory data (GGA-PBE) for a relaxed CeTl2F8 crystal.

Results
M_tot ... 0.20 μB/f.u.
Energy relative to the elements, uncorrected ... -2.54 eV/atom

a b c (Å): 6.7825 6.7825 5.5507
angles (deg): 108.68 108.68 49.92
Atoms (fractional coordinates):
Ce 0.0000 0.0000 0.0000
Tl 0.3403 0.3403 0.4279
Tl 0.6597 0.6597 0.5721
F 0.0661 0.6154 0.7536
F 0.0897 0.0897 0.7395
F 0.3846 0.9339 0.2464
F 0.4732 0.4732 0.2353
F 0.5268 0.5268 0.7647
F 0.6154 0.0661 0.7536
F 0.9103 0.9103 0.2605
F 0.9339 0.3846 0.2464



Entry 4:
Density functional theory data (GGA-PBE) for a relaxed Ce2TlF crystal.

Results
M_tot ... 1.95 μB/f.u.
Energy relative to the elements, uncorrected ... -1.21 eV/atom

a b c (Å): 3.8144 3.8144 23.2254
angles (deg): 90.00 90.00 120.00
Atoms (fractional coordinates):
Ce 0.0000 0.0000 0.2257
Ce 0.0000 0.0000 0.7743
Ce 0.3333 0.6667 0.4410
Ce 0.3333 0.6667 0.8924
Ce 0.6667 0.3333 0.1076
Ce 0.6667 0.3333 0.5590
Tl 0.0000 0.0000 0.0000
Tl 0.3333 0.6667 0.6667
Tl 0.6667 0.3333 0.3333
F 0.0000 0.0000 0.5000
F 0.3333 0.6667 0.1667
F 0.6667 0.3333 0.8333



Entry 5:
Density functional theory data (GGA-PBE) for a relaxed Ce2TlF11 crystal.

Results
M_tot ... 0.00 μB/f.u.
Energy relative to the elements, uncorrected ... -3.14 eV/atom

a b c (Å): 8.6266 8.6266 8.6266
angles (deg): 121.83 105.89 101.46
Atoms (fractional coordinates):
Ce 0.1830 0.1485 0.3315
Ce 0.3170 0.6485 0.9655
Ce 0.6830 0.3515 0.0345
Ce 0.8170 0.8515 0.6685
Tl 0.2500 0.7500 0.5000
Tl 0.7500 0.2500 0.5000
F 0.0000 0.0000 0.0000
F 0.0308 0.4514 0.7682
F 0.0654 0.8557 0.6455
F 0.1833 0.9514 0.4207
F 0.2101 0.4199 0.3545
F 0.2128 0.8742 0.0869
F 0.2872 0.3742 0.6614
F 0.2899 0.6443 0.2098
F 0.3167 0.7374 0.7682
F 0.4346 0.0801 0.7902
F 0.4692 0.2374 0.4207
F 0.5000 0.5000 0.0000
F 0.5308 0.7626 0.5793
F 0.5654 0.9199 0.2098
F 0.6833 0.2626 0.2318
F 0.7101 0.3557 0.7902
F 0.7128 0.6258 0.3386
F 0.7872 0.1258 0.9131
F 0.7899 0.5801 0.6455
F 0.8167 0.0486 0.5793
F 0.9346 0.1443 0.3545
F 0.9692 0.5486 0.2318



Entry 6:
Density functional theory data (GGA-PBE) for a relaxed Ce3TlF crystal.

Results
M_tot ... 3.23 μB/f.u.
Energy relative to the elements, uncorrected ... -0.97 eV/atom

a b c (Å): 4.9828 4.9828 4.9828
angles (deg): 90.00 90.00 90.00
Atoms (fractional coordinates):
Ce 0.0000 0.0000 0.5000
Ce 0.0000 0.5000 0.0000
Ce 0.5000 0.0000 0.0000
Tl 0.5000 0.5000 0.5000
F 0.0000 0.0000 0.0000



Entry 7:
Density functional theory data (GGA-PBE) for a relaxed Ce2TlF crystal.

Results
M_tot ... 3.02 μB/f.u.
Energy relative to the elements, uncorrected ... -1.01 eV/atom

a b c (Å): 3.2850 3.2850 8.3420
angles (deg): 90.00 90.00 90.00
Atoms (fractional coordinates):
Ce 0.0000 0.0000 0.2116
Ce 0.0000 0.0000 0.7884
Tl 0.5000 0.5000 0.5000
F 0.5000 0.5000 0.0000



Entry 8:
Density functional theory data (GGA-PBE) for a relaxed CeTlF crystal.

Results
M_tot ... 1.02 μB/f.u.
Energy relative to the elements, uncorrected ... -1.78 eV/atom

a b c (Å): 3.8533 15.6503 4.5771
angles (deg): 90.00 90.00 90.00
Atoms (fractional coordinates):
Ce 0.0000 0.1499 0.2500
Ce 0.0000 0.8501 0.7500
Ce 0.5000 0.3501 0.7500
Ce 0.5000 0.6499 0.2500
Tl 0.0000 0.4410 0.2500
Tl 0.0000 0.5590 0.7500
Tl 0.5000 0.0590 0.7500
Tl 0.5000 0.9410 0.2500
F 0.0000 0.2553 0.7500
F 0.0000 0.7447 0.2500
F 0.5000 0.2447 0.2500
F 0.5000 0.7553 0.7500